Model P:
Entry from Alexandria via LeMat-Bulk: a relaxed structure of TlIrAu2 (PBE).

Computed properties:
Density = 16713 kg/m³
Spin magnetization = 0.00 μB/cell

a = 6.253 Å, b = 6.253 Å, c = 4.668 Å
α = 68.20°, β = 68.20°, γ = 27.76°
Fractional coordinates of all 4 atoms:
1 Au 0.037 0.037 0.963
2 Au 0.463 0.463 0.537
3 Ir 0.750 0.750 0.750
4 Tl 0.250 0.250 0.250



Model Q:
Entry from Alexandria via LeMat-Bulk: a relaxed structure of TlIrAu2 (PBE).

Computed properties:
Density = 17944 kg/m³
Spin magnetization = 0.00 μB/cell

a = 5.024 Å, b = 5.024 Å, c = 5.024 Å
α = 129.75°, β = 129.71°, γ = 73.84°
Fractional coordinates of all 4 atoms:
1 Tl 0.250 0.750 0.500
2 Au 0.000 0.000 0.000
3 Au 0.750 0.250 0.500
4 Ir 0.500 0.500 0.000



Which structure is most stable, and how do the rest compare? From most to least stable: model P, model Q.



Model P:
Entry from Alexandria via LeMat-Bulk: a relaxed structure of TlIrAu2 (PBE).

Computed properties:
Density = 16661 kg/m³
Spin magnetization = 0.57 μB/cell

a = 2.973 Å, b = 2.973 Å, c = 8.915 Å
α = 90.00°, β = 90.00°, γ = 90.00°
Last column: magnetic moment on the atom in μB.
Fractional coordinates of all 4 atoms:
1 Tl 0.500 0.500 0.750  0.00
2 Au 0.000 0.000 0.039  0.03
3 Au 0.000 0.000 0.461  0.03
4 Ir 0.500 0.500 0.250  0.52



Model Q:
Entry from Alexandria via LeMat-Bulk: a relaxed structure of TlIrAu2 (PBE).

Computed properties:
Density = 17614 kg/m³
Spin magnetization = 0.00 μB/cell

a = 4.978 Å, b = 4.978 Å, c = 5.135 Å
α = 78.50°, β = 78.50°, γ = 36.79°
Fractional coordinates of all 4 atoms:
1 Au 0.757 0.757 0.761
2 Au 0.007 0.007 0.975
3 Tl 0.242 0.242 0.278
4 Ir 0.494 0.494 0.487



Which structure is most stable, and how do the rest compare? From most to least stable: model Q, model P.